No. 1
The following is a PBE calculation of a relaxed structure of Mg2Al3WS8, from Alexandria.

a b c (Å): 7.3390 7.3390 7.3390
angles (deg): 59.07 59.07 59.07
Positions (direct):
Mg: 0.1267 0.1267 0.1267
Mg: 0.8733 0.8733 0.8733
Al: 0.0000 0.5000 0.5000
Al: 0.5000 0.0000 0.5000
Al: 0.5000 0.5000 0.0000
W: 0.5000 0.5000 0.5000
S: 0.2595 0.2595 0.7135
S: 0.2595 0.7135 0.2595
S: 0.2620 0.2620 0.2620
S: 0.2865 0.7405 0.7405
S: 0.7135 0.2595 0.2595
S: 0.7380 0.7380 0.7380
S: 0.7405 0.2865 0.7405
S: 0.7405 0.7405 0.2865

Properties
The total energy comes out at -74.25 eV/cell. Its space group is R-3m. The density of states at the Fermi level comes out at 0.022 states/eV per atom.

No. 2
The following is a PBE calculation of a relaxed structure of MgAlWS4, from Alexandria.

a b c (Å): 7.3311 7.3311 7.3311
angles (deg): 124.09 119.94 86.58
Positions (direct):
Mg: 0.0000 0.0000 0.0000
Mg: 0.7557 0.2557 0.5000
Al: 0.3916 0.6520 0.7396
Al: 0.9124 0.6520 0.2604
W: 0.3906 0.1919 0.8013
W: 0.3906 0.5892 0.1987
S: 0.1543 0.4184 0.7358
S: 0.1570 0.8758 0.2812
S: 0.1614 0.4161 0.2547
S: 0.1614 0.9068 0.7453
S: 0.5945 0.8758 0.7188
S: 0.6201 0.3980 0.7779
S: 0.6201 0.8422 0.2221
S: 0.6826 0.4184 0.2642

Properties
The total energy comes out at -81.85 eV/cell. Its space group is Imm2. The density of states at the Fermi level comes out at 0.105 states/eV per atom.

No. 3
The following is a PBE calculation of a relaxed structure of YMgAlS4, from Alexandria.

a b c (Å): 7.5515 7.5515 7.5515
angles (deg): 120.00 119.81 90.17
Positions (direct):
Y: 0.0000 0.0000 0.0000
Y: 0.5000 0.0000 0.5000
Mg: 0.5000 0.0000 0.0000
Mg: 0.5000 0.5000 0.5000
Al: 0.1198 0.3698 0.7500
Al: 0.8802 0.6302 0.2500
S: 0.2522 0.2594 0.5072
S: 0.2524 0.7453 0.5071
S: 0.2522 0.7451 0.9928
S: 0.2618 0.2547 0.0071
S: 0.7382 0.7453 0.9929
S: 0.7478 0.2549 0.0072
S: 0.7476 0.2547 0.4929
S: 0.7478 0.7406 0.4928

Properties
The total energy comes out at -77.37 eV/cell. Its space group is Imma.

No. 4
The following is a PBE calculation of a relaxed structure of MgAlZnS2, from Alexandria.

a b c (Å): 4.7834 4.7834 4.7073
angles (deg): 90.00 90.00 90.00
Positions (direct):
Mg: 0.0000 0.0000 0.0000
Al: 0.5000 0.5000 0.5000
Zn: 0.5000 0.5000 0.0000
S: 0.0000 0.5000 0.5000
S: 0.5000 0.0000 0.5000

Properties
The total energy comes out at -15.02 eV/cell. Its space group is P4/mmm. The density of states at the Fermi level comes out at 0.557 states/eV per atom.

No. 5
The following is a PBE calculation of a relaxed structure of Mg2Al2Sb, from Alexandria.

a b c (Å): 8.2279 8.2279 3.2265
angles (deg): 90.00 90.00 90.00
Positions (direct):
Mg: 0.1267 0.3733 0.0000
Mg: 0.3733 0.8733 0.0000
Mg: 0.6267 0.1267 0.0000
Mg: 0.8733 0.6267 0.0000
Al: 0.1724 0.6724 0.5000
Al: 0.3276 0.1724 0.5000
Al: 0.6724 0.8276 0.5000
Al: 0.8276 0.3276 0.5000
Sb: 0.0000 0.0000 0.0000
Sb: 0.5000 0.5000 0.0000

Properties
The excess energy over the best structure of this formula in the dataset is 102 meV/atom. Its space group is P4/mbm. The density of states at the Fermi level comes out at 0.513 states/eV per atom.

No. 6
The following is a PBE calculation of a relaxed structure of MgAlSb3, from Alexandria.

a b c (Å): 5.3923 5.3923 5.3923
angles (deg): 90.00 90.00 90.00
Positions (direct):
Mg: 0.0000 0.0000 0.0000
Al: 0.5000 0.5000 0.5000
Sb: 0.0000 0.0000 0.5000
Sb: 0.0000 0.5000 0.0000
Sb: 0.5000 0.0000 0.0000

Properties
The excess energy over the best structure of this formula in the dataset is 212 meV/atom. Its space group is Pm-3m. The density of states at the Fermi level comes out at 0.653 states/eV per atom.

No. 7
The following is a PBE calculation of a relaxed structure of MgAlSb4, from Alexandria.

a b c (Å): 6.2538 6.2538 6.2538
angles (deg): 60.00 60.00 60.00
Positions (direct):
Mg: 0.0000 0.0000 0.0000
Al: 0.2500 0.2500 0.2500
Sb: 0.1259 0.6247 0.6247
Sb: 0.6247 0.1259 0.6247
Sb: 0.6247 0.6247 0.1259
Sb: 0.6247 0.6247 0.6247

Properties
The total energy comes out at -19.91 eV/cell. Its space group is F-43m. The density of states at the Fermi level comes out at 0.243 states/eV per atom.

No. 8
The following is a PBE calculation of a relaxed structure of MgAl2Sb2, from Alexandria.

a b c (Å): 7.9276 7.9276 7.9276
angles (deg): 149.94 149.94 43.03
Positions (direct):
Mg: 0.0000 0.0000 0.0000
Al: 0.2500 0.7500 0.5000
Al: 0.7500 0.2500 0.5000
Sb: 0.3826 0.3826 0.0000
Sb: 0.6174 0.6174 0.0000

Properties
The excess energy over the best structure of this formula in the dataset is 86 meV/atom. Its space group is I4/mmm. The density of states at the Fermi level comes out at 0.340 states/eV per atom.

Number 1: calculated density 3.46 Mg/m³. Number 2: calculated density 4.48 Mg/m³. Number 3: calculated density 2.92 Mg/m³. Number 4: calculated density 2.79 Mg/m³. Number 5: calculated density 3.41 Mg/m³. Number 6: calculated density 4.41 Mg/m³. Number 7: calculated density 5.17 Mg/m³. Number 8: calculated density 4.29 Mg/m³.